An optimized crystal structure of CsCo2Ir2S6. Source: Alexandria, functional PBE.

abc: 6.682 6.700 8.832
angles: 116.47 87.11 53.97
Sites, in units of the cell vectors:
S  0.670  0.356  0.118
S  0.980  0.062  0.361
S  0.330  0.644  0.882
S  0.020  0.938  0.639
S  0.283  0.211  0.158
S  0.717  0.789  0.842
Ir  0.745  0.406  0.682
Ir  0.255  0.594  0.318
Cs  0.500  0.000  0.500
Co  0.952  0.903  0.860
Co  0.048  0.097  0.140

**Uncorrected formation energy**: -296 kJ/mol of formula units
**Crystal system**: triclinic
**Total DFT energy (no corrections)**: -60.6 eV per cell
**Volume**: 23.474 Å³ per atom

An optimized crystal structure of Cs2CoIrS4. Source: Alexandria, functional PBE.

abc: 5.241 7.801 12.515
angles: 85.97 77.91 70.37
Sites, in units of the cell vectors:
Ir  0.750  0.500  0.500
Ir  0.000  0.000  0.000
Cs  0.928  0.500  0.144
Cs  0.178  0.000  0.644
Cs  0.572  0.500  0.856
Cs  0.822  0.000  0.356
S  0.598  0.175  0.103
S  0.874  0.675  0.603
S  0.451  0.675  0.397
S  0.876  0.825  0.897
S  0.523  0.325  0.603
S  0.299  0.825  0.103
S  0.152  0.325  0.397
S  0.227  0.175  0.897
Co  0.500  0.000  0.000
Co  0.250  0.500  0.500

**Uncorrected formation energy**: -498 kJ/mol of formula units
**Crystal system**: orthorhombic
**Total DFT energy (no corrections)**: -78.7 eV per cell
**Volume**: 29.451 Å³ per atom

An optimized crystal structure of Cs2CoIrSe4. Source: Alexandria, functional PBE.

abc: 5.408 8.135 12.674
angles: 85.93 77.68 70.59
Sites, in units of the cell vectors:
Ir  0.750  0.500  0.500
Ir  0.000  0.000  0.000
Se  0.593  0.178  0.110
Se  0.157  0.322  0.390
Se  0.881  0.822  0.890
Se  0.297  0.822  0.110
Se  0.869  0.678  0.610
Se  0.230  0.178  0.890
Se  0.453  0.678  0.390
Se  0.520  0.322  0.610
Cs  0.819  0.000  0.363
Cs  0.181  0.000  0.637
Cs  0.931  0.500  0.137
Cs  0.569  0.500  0.863
Co  0.250  0.500  0.500
Co  0.500  0.000  0.000

**Uncorrected formation energy**: -440 kJ/mol of formula units
**Crystal system**: orthorhombic
**Total DFT energy (no corrections)**: -72.3 eV per cell
**Volume**: 32.112 Å³ per atom